# AcCe2Pt4 (PBE, optimized geometry)
# **Energy of formation from the pure elements**: -7.89 eV per formula unit
# **Calculated volume**: 23.92 A^3/atom
data_AcCe2Pt4
_chemical_formula_sum 'Ac2 Ce4 Pt8'
_cell_length_a 3.986
_cell_length_b 4.299
_cell_length_c 19.544
_cell_angle_alpha 90.00
_cell_angle_beta 90.00
_cell_angle_gamma 90.00
_space_group_name_H-M_alt 'I m m m'
_space_group_IT_number 71
_space_group_name_Hall '-I 2 2'
loop_
_atom_site_label
_atom_site_fract_x
_atom_site_fract_y
_atom_site_fract_z
Ac1 0.000 0.000 0.000
Ce1 0.000 0.500 0.183
Pt1 0.000 0.000 0.430
Pt2 0.000 0.500 0.333